1.
# UGaN PBE-GGA relaxed
# Calculated density = 9.70 g cm⁻³
# Formation energy (no corrections) = 0.502 eV/f.u.
data_UGaN
_symmetry_space_group_name_H-M 'P 1'
_symmetry_Int_Tables_number 1
_cell_length_a 4.413
_cell_length_b 4.413
_cell_length_c 4.413
_cell_angle_alpha 125.38
_cell_angle_beta 125.38
_cell_angle_gamma 80.91
loop_
_symmetry_equiv_pos_as_xyz
'x,y,z'
loop_
_atom_site_label
_atom_site_type_symbol
_atom_site_fract_x
_atom_site_fract_y
_atom_site_fract_z
_atom_site_occupancy
U1 U 0.000 0.000 0.000 1
Ga1 Ga 0.415 0.415 0.000 1
N1 N 0.700 0.700 0.000 1



2.
# TmZrCuRh PBE-GGA relaxed
# Calculated density = 9.44 g cm⁻³
# Energy of formation = -0.511 eV/atom
data_TmZrCuRh
_symmetry_space_group_name_H-M 'P 1'
_symmetry_Int_Tables_number 1
_cell_length_a 4.735
_cell_length_b 4.735
_cell_length_c 4.735
_cell_angle_alpha 60.00
_cell_angle_beta 60.00
_cell_angle_gamma 60.00
loop_
_symmetry_equiv_pos_as_xyz
'x,y,z'
loop_
_atom_site_label
_atom_site_type_symbol
_atom_site_fract_x
_atom_site_fract_y
_atom_site_fract_z
_atom_site_occupancy
Tm1 Tm 0.000 0.000 0.000 1
Zr1 Zr 0.500 0.500 0.500 1
Cu1 Cu 0.750 0.750 0.750 1
Rh1 Rh 0.250 0.250 0.250 1



3.
# CaPrBi PBE-GGA relaxed
# Calculated density = 6.34 g cm⁻³
# Energy of formation = -0.431 eV/atom
data_CaPrBi
_symmetry_space_group_name_H-M 'P 1'
_symmetry_Int_Tables_number 1
_cell_length_a 5.218
_cell_length_b 5.218
_cell_length_c 4.330
_cell_angle_alpha 90.00
_cell_angle_beta 90.00
_cell_angle_gamma 120.00
loop_
_symmetry_equiv_pos_as_xyz
'x,y,z'
loop_
_atom_site_label
_atom_site_type_symbol
_atom_site_fract_x
_atom_site_fract_y
_atom_site_fract_z
_atom_site_occupancy
Ca1 Ca 0.000 0.000 0.000 1
Pr1 Pr 0.667 0.333 0.533 1
Bi1 Bi 0.333 0.667 0.132 1



4.
# SrCdAs PBE-GGA relaxed
# Calculated density = 4.73 g cm⁻³
# Energy of formation = -0.234 eV/atom
data_SrCdAs
_symmetry_space_group_name_H-M 'P 1'
_symmetry_Int_Tables_number 1
_cell_length_a 5.148
_cell_length_b 5.148
_cell_length_c 5.148
_cell_angle_alpha 60.00
_cell_angle_beta 60.00
_cell_angle_gamma 60.00
loop_
_symmetry_equiv_pos_as_xyz
'x,y,z'
loop_
_atom_site_label
_atom_site_type_symbol
_atom_site_fract_x
_atom_site_fract_y
_atom_site_fract_z
_atom_site_occupancy
Sr1 Sr 0.000 0.000 0.000 1
Cd1 Cd 0.250 0.250 0.250 1
As1 As 0.750 0.750 0.750 1



5.
# LaMg2Ir2 PBE-GGA relaxed
# Calculated density = 9.99 g cm⁻³
# Energy of formation = -0.431 eV/atom
data_LaMg2Ir2
_symmetry_space_group_name_H-M 'P 1'
_symmetry_Int_Tables_number 1
_cell_length_a 7.819
_cell_length_b 7.819
_cell_length_c 3.111
_cell_angle_alpha 90.00
_cell_angle_beta 90.00
_cell_angle_gamma 90.00
loop_
_symmetry_equiv_pos_as_xyz
'x,y,z'
loop_
_atom_site_label
_atom_site_type_symbol
_atom_site_fract_x
_atom_site_fract_y
_atom_site_fract_z
_atom_site_occupancy
La1 La 0.000 0.000 0.000 1
La2 La 0.500 0.500 0.000 1
Mg1 Mg 0.129 0.371 0.500 1
Mg2 Mg 0.371 0.871 0.500 1
Mg3 Mg 0.629 0.129 0.500 1
Mg4 Mg 0.871 0.629 0.500 1
Ir1 Ir 0.166 0.666 0.000 1
Ir2 Ir 0.334 0.166 0.000 1
Ir3 Ir 0.666 0.834 0.000 1
Ir4 Ir 0.834 0.334 0.000 1



6.
# Ca2Ac5Nd PBE-GGA relaxed
# Calculated density = 6.54 g cm⁻³
# Energy of formation = 0.028 eV/atom
data_Ca2Ac5Nd
_symmetry_space_group_name_H-M 'P 1'
_symmetry_Int_Tables_number 1
_cell_length_a 11.770
_cell_length_b 11.770
_cell_length_c 11.770
_cell_angle_alpha 152.58
_cell_angle_beta 152.58
_cell_angle_gamma 39.16
loop_
_symmetry_equiv_pos_as_xyz
'x,y,z'
loop_
_atom_site_label
_atom_site_type_symbol
_atom_site_fract_x
_atom_site_fract_y
_atom_site_fract_z
_atom_site_occupancy
Ca1 Ca 0.250 0.250 0.000 1
Ca2 Ca 0.750 0.750 0.000 1
Ac1 Ac 0.000 0.000 0.000 1
Ac2 Ac 0.121 0.621 0.500 1
Ac3 Ac 0.379 0.879 0.500 1
Ac4 Ac 0.621 0.121 0.500 1
Ac5 Ac 0.879 0.379 0.500 1
Nd1 Nd 0.500 0.500 0.000 1



Among the records above, which one has the highest calculated density? LaMg2Ir2



Which of these has the highest calculated density? LaMg2Ir2



The lowest calculated density belongs to which entry? SrCdAs